1.
# TaTlI2N

A relaxed structure of TaTlI2N (PBE, Alexandria via LeMat-Bulk).

```
5
Lattice="-4.9837 2.9180 1.3742 0.6512 -1.5668 5.6888 2.1155 3.2993 0.6665" Properties=species:S:1:pos:R:3 pbc="T T T"
N 1.0578 1.6496 0.3332
I -2.4919 1.4590 0.6871
I 0.3256 -0.7834 2.8444
Tl -1.1085 2.3253 3.8647
Ta 0.0000 0.0000 0.0000
```

Properties
M_tot ... 0.96 μB per formula unit
Formation energy (no corrections) ... -111 meV per atom
V ... 28.02 Å³/atom

=====

2.
# TiZnTe

A relaxed structure of TiZnTe (PBE, Alexandria via LeMat-Bulk).

```
6
Lattice="4.2087 0.0000 0.0000 2.1044 3.6449 0.0000 2.1044 1.2150 9.1313" Properties=species:S:1:pos:R:3 pbc="T T T"
Ti 4.2087 2.4299 3.0753
Te 6.3131 3.6449 7.4524
Zn 6.3131 3.6449 4.5701
Te 2.1044 1.2150 1.6789
Zn 2.1044 1.2150 4.5612
Ti 4.2087 2.4299 6.0560
```

Properties
M_tot ... 0.00 μB per formula unit
Formation energy (no corrections) ... -388 meV per atom
V ... 23.35 Å³/atom

=====

3.
# KYAs2Se

A relaxed structure of KYAs2Se (PBE, Alexandria via LeMat-Bulk).

```
5
Lattice="5.5167 0.0000 0.0000 0.0000 5.5167 0.0000 0.0000 0.0000 5.5590" Properties=species:S:1:pos:R:3 pbc="T T T"
As 2.7583 0.0000 0.0000
Y 0.0000 0.0000 0.0000
As 0.0000 2.7583 0.0000
Se 0.0000 0.0000 2.7795
K 2.7583 2.7583 2.7795
```

Properties
M_tot ... 0.58 μB per formula unit
Formation energy (no corrections) ... -395 meV per atom
V ... 33.84 Å³/atom

=====

4.
# KBF3

A relaxed structure of KBF3 (PBE, Alexandria via LeMat-Bulk).

```
5
Lattice="-1.5733 -4.4376 0.8049 4.4556 -1.6614 -0.4505 0.6985 0.6025 4.6866" Properties=species:S:1:pos:R:3 pbc="T T T"
F -0.7866 -2.2188 0.4025
F 2.2278 -0.8307 -0.2252
K 0.0000 0.0000 0.0000
B 1.7904 -2.7482 2.5205
F 0.3492 0.3012 2.3433
```

Properties
M_tot ... 1.00 μB per formula unit
Formation energy (no corrections) ... -180 meV per atom
V ... 21.80 Å³/atom

=====

5.
# TlC3Se

A relaxed structure of TlC3Se (PBE, Alexandria via LeMat-Bulk).

```
5
Lattice="4.0900 0.0000 0.0000 0.0000 4.0900 0.0000 0.0000 0.0000 4.0900" Properties=species:S:1:pos:R:3 pbc="T T T"
Tl 2.0450 2.0450 2.0450
C 0.0000 2.0450 0.0000
C 2.0450 0.0000 0.0000
Se 0.0000 0.0000 0.0000
C 0.0000 0.0000 2.0450
```

Properties
M_tot ... 0.00 μB per formula unit
Formation energy (no corrections) ... 2825 meV per atom
V ... 13.68 Å³/atom

=====

6.
# CeHo2Er4Tm

A relaxed structure of CeHo2Er4Tm (PBE, Alexandria via LeMat-Bulk).

```
8
Lattice="4.9635 0.0000 0.0000 0.0000 4.8080 1.2316 0.0001 2.3425 10.8429" Properties=species:S:1:pos:R:3 pbc="T T T"
Ho 0.0001 2.3425 10.8429
Er 2.4818 2.9610 8.4354
Ho 2.4818 1.1713 5.4215
Er 2.4818 4.1895 3.6391
Ce 0.0001 3.5752 6.0373
Er 0.0001 5.3632 9.0523
Er 4.9635 1.7872 3.0222
Tm 2.4818 2.4040 0.6158
```

Properties
M_tot ... 0.86 μB per formula unit
Calculated formation energy ... 45 meV/atom
V ... 30.56 Å³/atom

=====

7.
# PmCdIn

A relaxed structure of PmCdIn (PBE, Alexandria via LeMat-Bulk).

```
12
Lattice="7.0761 0.0000 0.0000 0.0000 7.0761 0.0000 0.0000 0.0000 7.0761" Properties=species:S:1:pos:R:3 pbc="T T T"
In 1.7689 1.7692 5.3069
Pm 3.5375 0.0006 7.0756
In 1.7692 5.3069 1.7689
Cd 3.5377 3.5384 0.0003
In 5.3069 1.7689 1.7692
Cd 0.0003 3.5377 3.5384
Pm 3.5386 3.5386 3.5386
In 5.3073 5.3073 5.3073
Cd 7.0758 7.0758 7.0758
Pm 0.0006 7.0756 3.5375
Cd 3.5384 0.0003 3.5377
Pm 7.0756 3.5375 0.0006
```

Properties
M_tot ... 0.00 μB per formula unit
Calculated formation energy ... -277 meV/atom
V ... 29.53 Å³/atom

=====

8.
# Li2AlSF

A relaxed structure of Li2AlSF (PBE, Alexandria via LeMat-Bulk).

```
5
Lattice="4.2307 0.0000 0.0000 0.0000 8.6668 0.0000 0.0000 0.0000 4.2307" Properties=species:S:1:pos:R:3 pbc="T T T"
S 0.0000 0.0000 0.0000
F 0.0000 4.3334 0.0000
Al 2.1154 4.3334 2.1154
Li 2.1154 0.0000 0.0000
Li 0.0000 0.0000 2.1154
```

Properties
M_tot ... 0.00 μB per formula unit
Formation energy (no corrections) ... -708 meV per atom
V ... 31.03 Å³/atom

=====

9.
# BaSr2LiH

A relaxed structure of BaSr2LiH (PBE, Alexandria via LeMat-Bulk).

```
5
Lattice="5.5420 0.0000 0.0000 0.0000 5.5420 0.0000 0.0000 0.0000 5.9549" Properties=species:S:1:pos:R:3 pbc="T T T"
Sr 2.7710 0.0000 0.0000
Sr 0.0000 2.7710 0.0000
Li 2.7710 2.7710 2.9774
Ba 0.0000 0.0000 2.9774
H 0.0000 0.0000 0.0000
```

Properties
Final energy ... -10.969 eV per cell
M_tot ... 0.00 μB per formula unit
V ... 36.58 Å³/atom

=====

10.
# HfThN

A relaxed structure of HfThN (PBE, Alexandria via LeMat-Bulk).

```
3
Lattice="-1.1672 -2.3343 -2.1516 3.2744 0.0321 0.8475 -1.1436 -3.6277 4.5561" Properties=species:S:1:pos:R:3 pbc="T T T"
Th -0.0879 -0.2788 0.3501
N -0.1162 -2.9080 0.5592
Hf 1.1677 -2.7431 2.3426
```

Properties
M_tot ... 0.57 μB per formula unit
Formation energy (no corrections) ... -889 meV per atom
V ... 19.60 Å³/atom

=====

11.
# Sm2DyEr

A relaxed structure of Sm2DyEr (PBE, Alexandria via LeMat-Bulk).

```
4
Lattice="-1.9927 2.2980 1.8820 -2.7536 -0.5794 -2.2081 -3.1461 -7.5669 5.9086" Properties=species:S:1:pos:R:3 pbc="T T T"
Dy -3.9462 -2.9241 2.7912
Er -2.3731 0.8593 -0.1631
Sm -0.7832 -1.8838 1.4710
Sm -2.3629 -5.6831 4.4376
```

Properties
M_tot ... 0.00 μB per formula unit
Calculated formation energy ... 19 meV/atom
V ... 32.31 Å³/atom

=====

12.
# BeNbAs2F

A relaxed structure of BeNbAs2F (PBE, Alexandria via LeMat-Bulk).

```
5
Lattice="5.1181 0.0000 0.0000 0.0000 2.9483 0.0000 0.0000 0.0000 5.1181" Properties=species:S:1:pos:R:3 pbc="T T T"
Nb 2.5590 1.4741 2.5590
Be 0.0000 0.0000 0.0000
As 2.5590 0.0000 0.0000
F 0.0000 1.4741 0.0000
As 0.0000 0.0000 2.5590
```

Properties
M_tot ... 0.73 μB per formula unit
Formation energy (no corrections) ... -507 meV per atom
V ... 15.45 Å³/atom

=====

13.
# Tl15Cd4In

A relaxed structure of Tl15Cd4In (PBE, Alexandria via LeMat-Bulk).

```
20
Lattice="-0.7419 2.0867 -4.3499 -2.9744 -3.6630 -1.2499 -18.9533 12.2775 9.1220" Properties=species:S:1:pos:R:3 pbc="T T T"
Tl -5.6885 1.6931 -0.9564
Tl -3.4274 -0.5746 0.3089
Tl -17.3840 12.0640 6.0133
Tl -2.3112 2.3002 -1.2411
Cd -7.5878 4.9152 3.6519
Cd -11.3656 7.3623 5.4701
Tl -13.6248 9.6289 4.2040
Tl -14.7410 6.7540 5.7540
Tl -7.1867 1.8605 2.1182
Tl -9.8476 7.1821 2.3861
Tl -9.4497 4.1295 0.8539
Tl -13.2198 6.5717 2.6684
In 0.0000 0.0000 0.0000
Tl -1.8581 -0.7881 -2.7999
Tl -10.9638 4.3073 3.9361
Tl -18.5002 9.1892 7.5633
Cd -3.8321 2.4823 1.8443
Tl -16.9811 9.0081 4.4786
Cd -15.1213 9.7952 7.2777
Tl -6.0704 4.7353 0.5681
```

Properties
M_tot ... 0.00 μB per formula unit
Calculated formation energy ... 42 meV/atom
V ... 29.01 Å³/atom

=====

14.
# KRbCd2Pt

A relaxed structure of KRbCd2Pt (PBE, Alexandria via LeMat-Bulk).

```
5
Lattice="-2.3239 3.0817 -3.7977 -4.4647 0.3797 3.0401 2.1968 4.8810 2.6165" Properties=species:S:1:pos:R:3 pbc="T T T"
Cd -1.1619 1.5409 -1.8988
Cd -2.2323 0.1898 1.5201
Pt 0.0000 0.0000 0.0000
K 1.0984 2.4405 1.3083
Rb -2.2959 4.1712 0.9295
```

Properties
M_tot ... 0.00 μB per formula unit
Calculated formation energy ... -144 meV/atom
V ... 34.94 Å³/atom

=====

15.
# Li2MoSe

A relaxed structure of Li2MoSe (PBE, Alexandria via LeMat-Bulk).

```
4
Lattice="2.7220 0.0052 0.0000 -0.6539 2.6423 0.0000 0.0000 0.0000 8.9152" Properties=species:S:1:pos:R:3 pbc="T T T"
Li 0.0000 0.0000 4.5736
Se 1.0340 1.3238 6.6864
Li 0.0000 0.0000 8.7992
Mo 1.0340 1.3238 2.2288
```

Properties
M_tot ... 0.00 μB per formula unit
Formation energy (no corrections) ... 19 meV per atom
V ... 16.04 Å³/atom

=====

16.
# K2Mg5Pb4

A relaxed structure of K2Mg5Pb4 (PBE, Alexandria via LeMat-Bulk).

```
11
Lattice="-6.4080 -0.6228 -1.6517 -1.6005 -1.2859 -6.6792 -2.7637 -8.9963 0.7407" Properties=species:S:1:pos:R:3 pbc="T T T"
K -6.2780 -3.1866 -1.1892
Mg -3.2040 -0.3114 -0.8258
Mg -4.0042 -0.9543 -4.1654
Pb -2.6172 -2.8453 -2.1469
Pb -5.1635 -3.5564 -5.3736
Mg -3.7841 -5.2968 -3.3822
Mg -6.9881 -5.6082 -4.2080
Mg -0.8003 -0.6430 -3.3396
Pb -8.1550 -8.0597 -5.4433
K -2.8937 -6.4325 0.2783
Pb -5.6087 -7.3486 -2.2166
```

Properties
M_tot ... 0.00 μB per formula unit
Calculated formation energy ... -33 meV/atom
V ... 32.82 Å³/atom

=====

17.
# Ac3Gd

A relaxed structure of Ac3Gd (PBE, Alexandria via LeMat-Bulk).

```
4
Lattice="-0.2127 -3.1202 2.4088 -0.6441 -4.1000 -5.3678 6.6831 2.9774 1.2122" Properties=species:S:1:pos:R:3 pbc="T T T"
Gd -0.6440 -4.0997 -5.3674
Ac 3.0645 -1.1975 1.9541
Ac -0.4251 -3.5890 -1.4519
Ac 2.9732 -1.6999 -1.9395
```

Properties
M_tot ... 7.55 μB per formula unit
Calculated formation energy ... 46 meV/atom
V ... 42.13 Å³/atom

=====

18.
# TmTi2O4

A relaxed structure of TmTi2O4 (PBE, Alexandria via LeMat-Bulk).

```
14
Lattice="3.1055 0.0000 0.0000 -1.5527 4.8545 0.0000 0.0000 0.0000 10.2048" Properties=species:S:1:pos:R:3 pbc="T T T"
Ti 0.0000 1.1579 4.4852
O 0.0000 2.2280 6.2842
Tm 1.5527 1.2293 7.6536
O 1.5527 0.0000 5.1024
O 1.5527 0.0000 0.0000
O 1.5527 4.4755 7.6536
O 0.0000 0.3790 2.5512
Ti 1.5527 3.6966 9.5876
O 1.5527 2.6265 3.9206
Ti 0.0000 1.1579 0.6172
Tm 0.0000 3.6253 2.5512
Ti 1.5527 3.6966 5.7196
O 1.5527 2.6265 1.1818
O 0.0000 2.2280 9.0230
```

Properties
M_tot ... 0.00 μB per formula unit
Formation energy (no corrections) ... -2952 meV per atom
V ... 10.99 Å³/atom

=====

19.
# CrCuPb2

A relaxed structure of CrCuPb2 (PBE, Alexandria via LeMat-Bulk).

```
4
Lattice="3.3529 0.0000 0.0000 0.0000 3.3529 0.0000 0.0000 0.0000 8.0260" Properties=species:S:1:pos:R:3 pbc="T T T"
Pb 1.6765 1.6765 2.5132
Cu 1.6765 1.6765 5.6360
Cr 0.0000 0.0000 4.4351
Pb 0.0000 0.0000 7.4807
```

Properties
M_tot ... 3.72 μB per formula unit
Calculated formation energy ... 354 meV/atom
V ... 22.56 Å³/atom

=====

20.
# BaTa2Al

A relaxed structure of BaTa2Al (PBE, Alexandria via LeMat-Bulk).

```
4
Lattice="5.1346 -0.0004 0.0000 0.6627 5.0917 0.0000 -2.8987 -2.5456 3.3885" Properties=species:S:1:pos:R:3 pbc="T T T"
Ta 0.3314 2.5458 1.6942
Ba 2.5673 -0.0002 1.6942
Al 2.8987 2.5456 0.0000
Ta 0.0000 0.0000 0.0000
```

Properties
M_tot ... 0.00 μB per formula unit
Calculated formation energy ... 864 meV/atom
V ... 22.15 Å³/atom

=====

21.
# SiSb

A relaxed structure of SiSb (PBE, Alexandria via LeMat-Bulk).

```
16
Lattice="8.5894 0.0000 0.0000 0.0000 8.5894 0.0000 0.0000 0.0000 8.5894" Properties=species:S:1:pos:R:3 pbc="T T T"
Sb 7.1907 7.1907 7.1907
Si 1.2940 1.2940 1.2940
Si 5.5887 3.0007 3.0007
Si 3.0007 5.5887 3.0007
Sb 1.3986 7.1907 1.3986
Si 7.2954 1.2940 7.2954
Sb 2.8960 5.6933 5.6933
Sb 7.1907 1.3986 1.3986
Sb 2.8960 2.8960 2.8960
Sb 1.3986 1.3986 7.1907
Si 3.0007 3.0007 5.5887
Sb 5.6933 2.8960 5.6933
Si 7.2954 7.2954 1.2940
Si 1.2940 7.2954 7.2954
Si 5.5887 5.5887 5.5887
Sb 5.6933 5.6933 2.8960
```

Properties
M_tot ... 0.00 μB per formula unit
Formation energy (no corrections) ... 608 meV per atom
V ... 39.61 Å³/atom

=====

22.
# GdBeAu2

A relaxed structure of GdBeAu2 (PBE, Alexandria via LeMat-Bulk).

```
4
Lattice="-2.7445 -1.6515 -2.8019 1.3463 -1.1602 -3.8667 0.5435 -5.5691 -0.4816" Properties=species:S:1:pos:R:3 pbc="T T T"
Au -0.3230 -1.5936 -1.9761
Gd -0.4274 -4.1904 -3.5751
Au -0.5317 -6.7872 -5.1741
Be 0.0000 0.0000 0.0000
```

Properties
M_tot ... 7.24 μB per formula unit
Calculated formation energy ... -472 meV/atom
V ... 19.80 Å³/atom

=====

23.
# Pd2Pt2Se

A relaxed structure of Pd2Pt2Se (PBE, Alexandria via LeMat-Bulk).

```
10
Lattice="-3.6407 4.9033 -2.9819 -5.6300 -3.7361 0.7303 -0.6058 1.5583 3.3020" Properties=species:S:1:pos:R:3 pbc="T T T"
Pd -2.5113 -0.5493 -0.2015
Pd -6.7594 1.7164 -2.0501
Pt -5.4140 3.6451 -0.6392
Se -4.6354 0.5836 -1.1258
Pd -6.0352 -1.4626 -0.4169
Pt -2.4118 1.9778 0.6985
Pd -3.2355 2.6298 -1.8347
Se 0.0000 0.0000 0.0000
Pt -7.4647 0.7477 0.3520
Pt -4.4625 -0.9196 1.6896
```

Properties
M_tot ... 0.00 μB per formula unit
Formation energy (no corrections) ... 218 meV per atom
V ... 17.10 Å³/atom

=====

24.
# Pm12Au6O

A relaxed structure of Pm12Au6O (PBE, Alexandria via LeMat-Bulk).

```
19
Lattice="8.3244 0.0597 0.0716 -1.2029 8.2372 0.0716 -1.2029 -1.4015 8.1174" Properties=species:S:1:pos:R:3 pbc="T T T"
Au 4.8325 2.3502 1.0463
Pm 7.8012 2.4848 0.6553
Pm 5.5237 4.2232 3.6235
Pm 1.2734 -0.8004 8.0747
Pm -1.8827 4.4106 7.6052
Pm 0.3947 2.6723 4.6371
Pm 6.9027 -0.8460 5.6986
Au -0.1302 4.8691 2.4994
Au 4.3280 6.7832 3.0233
Pm 2.5815 4.4203 1.6111
Pm 4.6451 7.6959 0.1859
Au 1.5905 0.1122 5.2373
Au 1.0860 4.5452 7.2143
O 0.0000 0.0000 0.0000
Au 6.0487 2.0264 5.7612
Pm 3.9779 1.0095 3.4579
Pm -0.9842 7.7415 2.5620
Pm 3.3369 2.4751 6.6495
Pm 1.9406 5.8860 4.8027
```

Properties
M_tot ... 0.00 μB per formula unit
Formation energy (no corrections) ... -652 meV per atom
V ... 29.41 Å³/atom